# 1
# LaGa2As (PBE-GGA, optimized geometry)
# ΔE_f: -1.91 eV/f.u.
# D(E_F): 0.59 states/eV per atom
# VASP energy: -0.1611 Ha/atom
data_LaGa2As
_chemical_formula_sum 'La4 Ga8 As4'
_cell_length_a 8.089
_cell_length_b 8.089
_cell_length_c 6.209
_cell_angle_alpha 90.00
_cell_angle_beta 90.00
_cell_angle_gamma 90.00
_symmetry_space_group_name_H-M 'I -4 2 d'
_symmetry_Int_Tables_number 122
_symmetry_space_group_name_Hall 'I -4 2bw'
loop_
_atom_site_label
_atom_site_type_symbol
_atom_site_fract_x
_atom_site_fract_y
_atom_site_fract_z
La1 La 0.000 0.000 0.000
Ga1 Ga 0.202 0.250 0.625
As1 As 0.000 0.000 0.500

***

# 2
# CsRbMg14O15 (PBE-GGA, optimized geometry)
# formation energy without anion corrections: -216 kJ/mol of atoms
# D(E_F): 0.00 states/eV per atom
# VASP energy: -0.1989 Ha/atom
data_CsRbMg14O15
_chemical_formula_sum 'Cs1 Rb1 Mg14 O15'
_cell_length_a 4.082
_cell_length_b 8.381
_cell_length_c 11.576
_cell_angle_alpha 90.00
_cell_angle_beta 90.00
_cell_angle_gamma 90.00
_symmetry_space_group_name_H-M 'P m m 2'
_symmetry_Int_Tables_number 25
loop_
_symmetry_equiv_pos_as_xyz
'x,y,z'
'-x,-y,z'
'-x,y,z'
'x,-y,z'
loop_
_atom_site_label
_atom_site_type_symbol
_atom_site_fract_x
_atom_site_fract_y
_atom_site_fract_z
Cs1 Cs 0.000 0.000 0.000
Rb1 Rb 0.000 0.500 0.464
Mg1 Mg 0.000 0.000 0.429
Mg2 Mg 0.000 0.244 0.689
Mg3 Mg 0.000 0.309 0.189
Mg4 Mg 0.000 0.500 0.889
Mg5 Mg 0.500 0.000 0.209
Mg6 Mg 0.500 0.000 0.664
Mg7 Mg 0.500 0.235 0.856
Mg8 Mg 0.500 0.257 0.344
Mg9 Mg 0.500 0.500 0.081
Mg10 Mg 0.500 0.500 0.704
O1 O 0.000 0.000 0.609
O2 O 0.000 0.222 0.346
O3 O 0.000 0.262 0.865
O4 O 0.000 0.500 0.090
O5 O 0.000 0.500 0.691
O6 O 0.500 0.000 0.378
O7 O 0.500 0.000 0.840
O8 O 0.500 0.225 0.157
O9 O 0.500 0.257 0.671
O10 O 0.500 0.500 0.304
O11 O 0.500 0.500 0.899